Record 1
Here is a PBEsol-optimized structure of CoH6Se2O8 from the Alexandria database. Energies are from meta-GGA SCAN.

Output
- mass density (g/cm3) = 3.37
- electronic total energy (eV/atom) = -8.544

Lattice parameters (Å, degrees): 6.919 6.952 7.811 66.94 90.00 90.00
Last column: magnetic moment on the atom in μB.
Positions (direct):
H1 0.667 0.371 0.911  0.00
H2 0.504 0.756 0.250  0.00
O1 0.275 0.198 0.502  0.04
Co1 0.000 0.500 0.000  2.66
Co2 0.500 0.000 0.500  2.66
O2 0.225 0.698 0.002  0.04
O3 0.416 0.954 0.261  0.03
O4 0.036 0.874 0.279  0.00
H3 0.333 0.629 0.089  0.00
O5 0.964 0.126 0.721  0.00
H4 0.167 0.129 0.589  0.00
H5 0.718 0.259 0.128  0.00
Se1 0.786 0.955 0.874  0.01
O6 0.659 0.239 0.329  0.04
O7 0.464 0.374 0.779  0.00
Se2 0.214 0.045 0.126  0.01
O8 0.159 0.261 0.171  0.04
H6 0.004 0.744 0.250  0.00
H7 0.496 0.244 0.750  0.00
O9 0.084 0.454 0.761  0.03
H8 0.282 0.741 0.872  0.00
O10 0.916 0.546 0.239  0.03
O11 0.536 0.626 0.221  0.00
H9 0.218 0.241 0.372  0.00
O12 0.584 0.046 0.739  0.03
H10 0.996 0.256 0.750  0.00
Se3 0.714 0.455 0.374  0.01
H11 0.782 0.759 0.628  0.00
O13 0.341 0.761 0.671  0.04
O14 0.841 0.739 0.829  0.04
O15 0.725 0.802 0.498  0.04
Se4 0.286 0.545 0.626  0.01
O16 0.775 0.302 0.998  0.04
H12 0.833 0.871 0.411  0.00


Record 2
Here is a PBEsol-optimized structure of P2RhCl from the Alexandria database. Energies are from meta-GGA SCAN.

Output
- mass density (g/cm3) = 4.98
- E above lowest polymorph (meV/atom) = 136
- formation energy from raw total energies (eV per atom) = -0.1035

Lattice parameters (Å, degrees): 3.247 3.745 6.230 100.86 90.00 115.69
Positions (direct):
Rh1 0.525 0.049 0.558
P1 0.963 0.925 0.897
P2 0.250 0.500 0.743
Cl1 0.763 0.526 0.302


Which of these has the lowest mass density? CoH6Se2O8